Entry from Alexandria: a geometry-optimized Cr4TcC2 structure (PBE-GGA).

Output
total magnetic moment = 9.65 μB/f.u.
electronic total energy = -58.3 eV/f.u.
ΔH_f (0 K) = 1.286 eV per atom

a = 4.535 Å, b = 4.535 Å, c = 10.062 Å
α = 90.00°, β = 90.00°, γ = 90.00°
Positions (direct):
Cr 0.000 0.000 0.245
Cr 0.000 0.000 0.755
Cr 0.000 0.500 0.000
Cr 0.000 0.500 0.500
Cr 0.500 0.000 0.000
Cr 0.500 0.000 0.500
Cr 0.500 0.500 0.255
Cr 0.500 0.500 0.745
Tc 0.000 0.000 0.000
Tc 0.500 0.500 0.500
C 0.000 0.000 0.433
C 0.000 0.000 0.567
C 0.500 0.500 0.067
C 0.500 0.500 0.933